No. 1
A plane-wave DFT calculation with GGA-PBE was carried out for a relaxed structure of B3C5.

Summary:
Its uncorrected energy is -126.954 eV for the cell shown. The calculation puts the distance to the lowest polymorph of the same formula at 0.0601 eV per atom. The total magnetic moment is 0.00 μB/f.u.

a b c (Å): 4.935 5.222 4.009
angles (deg): 90.00 90.00 90.00
Space group Cmm2 (No. 35)
Asymmetric unit:
1 B 0.000 0.000 0.000 (multiplicity 2)
2 B 0.243 0.500 0.320 (multiplicity 4)
3 C 0.000 0.257 0.785 (multiplicity 4)
4 C 0.000 0.500 0.016 (multiplicity 2)
5 C 0.250 0.250 0.565 (multiplicity 4)

=====

No. 2
A plane-wave DFT calculation with GGA-PBE was carried out for a relaxed structure of BC.

Summary:
Its uncorrected energy is -90.617 eV for the cell shown. The calculation puts the distance to the lowest polymorph of the same formula at 0.2484 eV per atom. The total magnetic moment is 0.00 μB/f.u.

a b c (Å): 4.811 2.588 6.562
angles (deg): 90.00 99.78 90.00
Space group Pm (No. 6)
Asymmetric unit:
1 B 0.000 0.000 0.000 (multiplicity 1)
2 B 0.023 0.000 0.722 (multiplicity 1)
3 B 0.153 0.500 0.583 (multiplicity 1)
4 B 0.351 0.000 0.993 (multiplicity 1)
5 B 0.591 0.500 0.710 (multiplicity 1)
6 B 0.649 0.000 0.362 (multiplicity 1)
7 C 0.164 0.500 0.347 (multiplicity 1)
8 C 0.286 0.000 0.259 (multiplicity 1)
9 C 0.518 0.500 0.936 (multiplicity 1)
10 C 0.679 0.000 0.609 (multiplicity 1)
11 C 0.816 0.500 0.051 (multiplicity 1)
12 C 0.830 0.500 0.277 (multiplicity 1)

=====

No. 3
A plane-wave DFT calculation with GGA-PBE was carried out for a relaxed structure of B3C.

Summary:
Its uncorrected energy is -81.982 eV for the cell shown. The calculation puts the distance to the lowest polymorph of the same formula at 0.2416 eV per atom. The total magnetic moment is 0.00 μB/f.u.

a b c (Å): 3.243 4.955 5.511
angles (deg): 106.47 90.03 92.84
Space group P1 (No. 1)
Asymmetric unit:
1 B 0.000 0.000 0.000 (multiplicity 1)
2 B 0.005 0.990 0.509 (multiplicity 1)
3 B 0.148 0.686 0.146 (multiplicity 1)
4 B 0.185 0.693 0.655 (multiplicity 1)
5 B 0.339 0.043 0.260 (multiplicity 1)
6 B 0.525 0.167 0.018 (multiplicity 1)
7 B 0.639 0.526 0.098 (multiplicity 1)
8 B 0.656 0.493 0.619 (multiplicity 1)
9 B 0.868 0.620 0.391 (multiplicity 1)
10 C 0.318 0.040 0.742 (multiplicity 1)
11 C 0.566 0.152 0.537 (multiplicity 1)
12 C 0.898 0.652 0.889 (multiplicity 1)

=====

No. 4
A plane-wave DFT calculation with GGA-PBE was carried out for a relaxed structure of BC.

Summary:
Its uncorrected energy is -181.944 eV for the cell shown. The calculation puts the distance to the lowest polymorph of the same formula at 0.2189 eV per atom. The total magnetic moment is 0.00 μB/f.u.

a b c (Å): 3.677 11.397 3.907
angles (deg): 90.00 90.00 90.00
Space group C222 (No. 21)
Asymmetric unit:
1 B 0.000 0.000 0.000 (multiplicity 2)
2 B 0.000 0.148 0.500 (multiplicity 4)
3 B 0.000 0.500 0.500 (multiplicity 2)
4 B 0.250 0.250 0.805 (multiplicity 4)
5 C 0.000 0.344 0.000 (multiplicity 4)
6 C 0.246 0.415 0.233 (multiplicity 8)